Entry 1:
SmScGa5Pd2: relaxed, PBE.

CIF file:
```
data_SmScGa5Pd2
_chemical_formula_sum 'Sm1 Sc1 Ga5 Pd2'
_cell_length_a 4.837
_cell_length_b 4.837
_cell_length_c 7.632
_cell_angle_alpha 90.00
_cell_angle_beta 90.00
_cell_angle_gamma 90.00
_symmetry_space_group_name_H-M 'P 4/m m m'
_symmetry_Int_Tables_number 123
_symmetry_space_group_name_Hall '-P 4 2'
loop_
_atom_site_label
_atom_site_fract_x
_atom_site_fract_y
_atom_site_fract_z
Sm1 0.000 0.000 0.000
Sc1 0.000 0.000 0.500
Ga1 0.000 0.500 0.269
Ga2 0.500 0.500 0.000
Pd1 0.500 0.500 0.328
```

Summary:
The total DFT energy (no corrections) comes out at -4.461 eV/atom. The value obtained for the formation energy is -345 kJ/mol of formula units.



Entry 2:
CuAgF3: relaxed, PBE.

CIF file:
```
data_CuAgF3
_chemical_formula_sum 'Cu4 Ag4 F12'
_cell_length_a 7.192
_cell_length_b 5.744
_cell_length_c 7.120
_cell_angle_alpha 90.00
_cell_angle_beta 113.48
_cell_angle_gamma 90.00
_symmetry_space_group_name_H-M 'P 1 21/c 1'
_symmetry_Int_Tables_number 14
_symmetry_space_group_name_Hall '-P 2ybc'
loop_
_atom_site_label
_atom_site_fract_x
_atom_site_fract_y
_atom_site_fract_z
Cu1 0.090 0.247 0.113
Ag1 0.405 0.719 0.896
F1 0.087 0.101 0.363
F2 0.180 0.629 0.539
F3 0.362 0.148 0.761
```

Summary:
The total DFT energy (no corrections) comes out at -3.825 eV/atom. The uncorrected formation energy comes out at -1.312 eV per atom.



Entry 3:
MgOsRhW: relaxed, PBE.

CIF file:
```
data_MgOsRhW
_chemical_formula_sum 'Mg4 Os4 Rh4 W4'
_cell_length_a 6.228
_cell_length_b 6.228
_cell_length_c 6.228
_cell_angle_alpha 90.00
_cell_angle_beta 90.00
_cell_angle_gamma 90.00
_symmetry_space_group_name_H-M 'F -4 3 m'
_symmetry_Int_Tables_number 216
_symmetry_space_group_name_Hall 'F -4 2 3'
loop_
_atom_site_label
_atom_site_fract_x
_atom_site_fract_y
_atom_site_fract_z
Mg1 0.000 0.000 0.000
Os1 0.250 0.250 0.750
Rh1 0.250 0.250 0.250
W1 0.000 0.000 0.500
```

Summary:
The total DFT energy (no corrections) comes out at -8.357 eV/atom. The value obtained for the formation energy is -29 kJ/mol of formula units.



Entry 4:
BeTl2Pb: relaxed, PBE.

CIF file:
```
data_BeTl2Pb
_chemical_formula_sum 'Be2 Tl4 Pb2'
_cell_length_a 4.296
_cell_length_b 5.299
_cell_length_c 9.115
_cell_angle_alpha 90.00
_cell_angle_beta 90.00
_cell_angle_gamma 90.00
_symmetry_space_group_name_H-M 'C m m 2'
_symmetry_Int_Tables_number 35
_symmetry_space_group_name_Hall 'C 2 -2'
loop_
_atom_site_label
_atom_site_fract_x
_atom_site_fract_y
_atom_site_fract_z
Be1 0.000 0.000 0.000
Tl1 0.000 0.000 0.498
Tl2 0.000 0.500 0.806
Pb1 0.000 0.500 0.183
```

Summary:
The total DFT energy (no corrections) comes out at -2.683 eV/atom. The value obtained for the formation energy is 138 kJ/mol of formula units.



Entry 5:
Tb3NdTe: relaxed, PBE.

CIF file:
```
data_Tb3NdTe
_chemical_formula_sum 'Tb6 Nd2 Te2'
_cell_length_a 5.882
_cell_length_b 5.727
_cell_length_c 9.523
_cell_angle_alpha 90.00
_cell_angle_beta 107.91
_cell_angle_gamma 90.00
_symmetry_space_group_name_H-M 'P 1 21/m 1'
_symmetry_Int_Tables_number 11
_symmetry_space_group_name_Hall '-P 2yb'
loop_
_atom_site_label
_atom_site_fract_x
_atom_site_fract_y
_atom_site_fract_z
Tb1 0.010 0.250 0.410
Tb2 0.168 0.250 0.813
Tb3 0.356 0.250 0.183
Nd1 0.402 0.750 0.415
Te1 0.240 0.750 0.001
```

Summary:
The total DFT energy (no corrections) comes out at -4.794 eV/atom. The uncorrected formation energy comes out at -0.434 eV per atom.



Entry 6:
SmDyHo2: relaxed, PBE.

CIF file:
```
data_SmDyHo2
_chemical_formula_sum 'Sm4 Dy4 Ho8'
_cell_length_a 11.660
_cell_length_b 3.519
_cell_length_c 13.397
_cell_angle_alpha 90.00
_cell_angle_beta 109.74
_cell_angle_gamma 90.00
_symmetry_space_group_name_H-M 'C 1 2/m 1'
_symmetry_Int_Tables_number 12
_symmetry_space_group_name_Hall '-C 2y'
loop_
_atom_site_label
_atom_site_fract_x
_atom_site_fract_y
_atom_site_fract_z
Sm1 0.157 0.000 0.061
Dy1 0.115 0.000 0.429
Ho1 0.020 0.500 0.811
Ho2 0.209 0.000 0.700
```

Summary:
The total DFT energy (no corrections) comes out at -4.536 eV/atom. The value obtained for the formation energy is 32 kJ/mol of formula units.



Entry 7:
Pu12Rh6Au: relaxed, PBE.

CIF file:
```
data_Pu12Rh6Au
_chemical_formula_sum 'Pu36 Rh18 Au3'
_cell_length_a 9.6567
_cell_length_b 9.6567
_cell_length_c 15.2671
_cell_angle_alpha 90.00
_cell_angle_beta 90.00
_cell_angle_gamma 120.00
_symmetry_space_group_name_H-M 'R -3 m'
_symmetry_Int_Tables_number 166
_symmetry_space_group_name_Hall '-R 3 2"'
loop_
_atom_site_label
_atom_site_fract_x
_atom_site_fract_y
_atom_site_fract_z
Pu1 0.1011 0.2022 0.3886
Pu2 0.1064 0.5532 0.8155
Rh1 0.0098 0.5049 0.3825
Au1 0.0000 0.0000 0.0000
```

Summary:
The total DFT energy (no corrections) comes out at -11.581 eV/atom. The value obtained for the formation energy is -65 kJ/mol of formula units.



Entry 8:
Fe2Pb3: relaxed, PBE.

CIF file:
```
data_Fe2Pb3
_chemical_formula_sum 'Fe2 Pb3'
_cell_length_a 4.5732
_cell_length_b 4.5732
_cell_length_c 6.8378
_cell_angle_alpha 90.00
_cell_angle_beta 90.00
_cell_angle_gamma 120.00
_symmetry_space_group_name_H-M 'P -3 m 1'
_symmetry_Int_Tables_number 164
_symmetry_space_group_name_Hall '-P 3 2"'
loop_
_atom_site_label
_atom_site_fract_x
_atom_site_fract_y
_atom_site_fract_z
Fe1 0.3333 0.6667 0.4530
Pb1 0.0000 0.0000 0.5000
Pb2 0.3333 0.6667 0.8512
```

Summary:
The total DFT energy (no corrections) comes out at -5.143 eV/atom. The value obtained for the formation energy is 225 kJ/mol of formula units.



| no. | total moment (μB per atom) |
| --- | --- |
| 1 | 0.000 |
| 2 | 0.207 |
| 3 | 0.001 |
| 4 | 0.000 |
| 5 | 0.000 |
| 6 | 0.000 |
| 7 | 3.316 |
| 8 | 0.932 |